A relaxed structure of ScCd2I. Source: Alexandria, functional GGA-PBE.

a = 8.7915 Å, b = 8.7915 Å, c = 5.9013 Å
α = 90.00°, β = 90.00°, γ = 90.00°
Closest atoms and distances in Å follow each position.
Space group I-42d (No. 122)
One atom of each set of equivalent atoms:
Sc1 0.0000 0.0000 0.0000 (multiplicity 4)  2 I 2.95, 4 Cd 3.05
Cd1 0.2251 0.7500 0.1250 (multiplicity 8)  2 Cd 2.98, 2 Sc 3.05
I1 0.0000 0.0000 0.5000 (multiplicity 4)  2 Sc 2.95

M_tot, Bohr magnetons per cell: 0.00
Distance to the lowest polymorph of the same formula, kJ/mol of atoms: 0.0
VASP energy, eV for the cell shown: -39.3
Formation energy without anion corrections, eV/f.u.: -0.11

***

A relaxed structure of Sr2NdCd12Ag3. Source: Alexandria, functional GGA-PBE.

a = 7.4103 Å, b = 7.4103 Å, c = 31.1125 Å
α = 90.00°, β = 90.00°, γ = 120.00°
Closest atoms and distances in Å follow each position.
Space group R-3m (No. 166, hexagonal axes)
One atom of each set of equivalent atoms:
Sr1 0.0000 0.0000 0.1422 (multiplicity 6)  6 Cd 3.40-3.42
Nd1 0.0000 0.0000 0.5000 (multiplicity 3)  6 Cd 3.29
Cd1 0.0562 0.5281 0.9021 (multiplicity 18)  4 Cd 2.98-3.08, 1 Ag 3.07, 1 Nd 3.29
Cd2 0.0657 0.5329 0.7139 (multiplicity 18)  2 Ag 2.80, 4 Cd 2.97-2.98
Ag1 0.0000 0.5000 0.0000 (multiplicity 9)  6 Cd 2.80-3.07

M_tot, Bohr magnetons per cell: 0.00
VASP energy, eV for the cell shown: -84.6

***

A relaxed structure of TlBi2Te2. Source: Alexandria, functional GGA-PBE.

a = 8.9535 Å, b = 8.2690 Å, c = 5.4276 Å
α = 90.00°, β = 111.73°, γ = 90.00°
Closest atoms and distances in Å follow each position.
Space group C2/m (No. 12)
One atom of each set of equivalent atoms:
Tl1 0.0000 0.0000 0.0000 (multiplicity 2)  4 Bi 3.39, 4 Te 3.64-3.65
Bi1 0.0000 0.2451 0.5000 (multiplicity 4)  4 Te 3.16-3.19, 2 Tl 3.39
Te1 0.2078 0.5000 0.3203 (multiplicity 4)  4 Bi 3.16-3.19

M_tot, Bohr magnetons per cell: 0.00
Distance to the lowest polymorph of the same formula, kJ/mol of atoms: 6.5
VASP energy, eV for the cell shown: -32.8
Formation energy without anion corrections, eV/f.u.: -0.01

***

A relaxed structure of UNiP. Source: Alexandria, functional GGA-PBE.

a = 6.9609 Å, b = 6.9609 Å, c = 3.6602 Å
α = 90.00°, β = 90.00°, γ = 90.00°
Closest atoms and distances in Å follow each position.
Space group P4_2/m (No. 84)
One atom of each set of equivalent atoms:
U1 0.0575 0.7812 0.0000 (multiplicity 4)  5 P 2.81-3.00, 4 U 2.88, 3 Ni 3.01-3.11
Ni1 0.3348 0.3997 0.0000 (multiplicity 4)  3 P 2.21-2.23
P1 0.1602 0.4563 0.5000 (multiplicity 4)  3 Ni 2.21-2.23, 1 P 2.31

M_tot, Bohr magnetons per cell: 0.00
VASP energy, eV for the cell shown: -96.3